## NdGa2Ge (PBE)

Data for NdGa2Ge after structural relaxation.

Summary:
calculated total energy = -0.160 Ha/atom
E above lowest polymorph = 0 meV/atom

Cell: 4.512 4.326 4.326 Å, 90.00 90.00 90.00°
Element x y z (fractional)
Ge 0.500 0.500 0.500
Ga 0.000 0.500 0.000
Nd 0.500 0.000 0.000
Ga 0.000 0.000 0.500

=====

## Th2Al3Cd (PBE)

Data for Th2Al3Cd after structural relaxation.

Summary:
calculated total energy = -0.177 Ha/atom
E above lowest polymorph = 15 meV/atom

Cell: 4.156 4.534 8.399 Å, 105.66 104.33 90.00°
Element x y z (fractional)
Cd 0.460 0.960 0.921
Al 0.542 0.542 0.084
Th 0.863 0.363 0.726
Al 0.294 0.794 0.587
Al 0.705 0.705 0.409
Th 0.136 0.136 0.273